# 1
DFT (PBE-GGA) results for a relaxed structure of ScGa2Fe2.

```
data_ScGa2Fe2
_symmetry_space_group_name_H-M 'P 4/m b m'
_symmetry_Int_Tables_number 127
_symmetry_space_group_name_Hall '-P 4 2ab'
_cell_length_a 7.409
_cell_length_b 7.409
_cell_length_c 2.667
_cell_angle_alpha 90.00
_cell_angle_beta 90.00
_cell_angle_gamma 90.00
loop_
_atom_site_label
_atom_site_type_symbol
_atom_site_fract_x
_atom_site_fract_y
_atom_site_fract_z
Sc1 Sc 0.000 0.000 0.000
Ga1 Ga 0.178 0.322 0.500
Fe1 Fe 0.116 0.616 0.000
```

- magnetic moment (Bohr magnetons per cell) = 8.06
- distance to the lowest polymorph of the same formula (eV per atom) = 0.091
- total DFT energy (no corrections) (eV per cell) = -60.54
- formation enthalpy at 0 K (eV/atom) = -0.192

=====

# 2
DFT (PBE-GGA) results for a relaxed structure of Sc2GaFe.

```
data_Sc2GaFe
_symmetry_space_group_name_H-M 'I -4 2 d'
_symmetry_Int_Tables_number 122
_symmetry_space_group_name_Hall 'I -4 2bw'
_cell_length_a 7.317
_cell_length_b 7.317
_cell_length_c 5.408
_cell_angle_alpha 90.00
_cell_angle_beta 90.00
_cell_angle_gamma 90.00
loop_
_atom_site_label
_atom_site_type_symbol
_atom_site_fract_x
_atom_site_fract_y
_atom_site_fract_z
Sc1 Sc 0.197 0.250 0.125
Ga1 Ga 0.000 0.000 0.500
Fe1 Fe 0.000 0.000 0.000
```

- magnetic moment (Bohr magnetons per cell) = 0.01
- total DFT energy (no corrections) (eV per cell) = -94.93
- formation enthalpy at 0 K (eV/atom) = 0.105

=====

# 3
DFT (PBE-GGA) results for a relaxed structure of ScGa3Fe.

```
data_ScGa3Fe
_symmetry_space_group_name_H-M 'P m -3 m'
_symmetry_Int_Tables_number 221
_symmetry_space_group_name_Hall '-P 4 2 3'
_cell_length_a 5.097
_cell_length_b 5.097
_cell_length_c 5.097
_cell_angle_alpha 90.00
_cell_angle_beta 90.00
_cell_angle_gamma 90.00
loop_
_atom_site_label
_atom_site_type_symbol
_atom_site_fract_x
_atom_site_fract_y
_atom_site_fract_z
Sc1 Sc 0.000 0.000 0.000
Ga1 Ga 0.000 0.000 0.500
Fe1 Fe 0.500 0.500 0.500
```

- magnetic moment (Bohr magnetons per cell) = 2.93
- distance to the lowest polymorph of the same formula (eV per atom) = 1.394
- total DFT energy (no corrections) (eV per cell) = -18.58
- formation enthalpy at 0 K (eV/atom) = 1.058

=====

# 4
DFT (PBE-GGA) results for a relaxed structure of ScGa2Fe.

```
data_ScGa2Fe
_symmetry_space_group_name_H-M 'R -3 m'
_symmetry_Int_Tables_number 166
_symmetry_space_group_name_Hall '-R 3 2"'
_cell_length_a 4.0471
_cell_length_b 4.0471
_cell_length_c 13.7515
_cell_angle_alpha 90.00
_cell_angle_beta 90.00
_cell_angle_gamma 120.00
loop_
_atom_site_label
_atom_site_type_symbol
_atom_site_fract_x
_atom_site_fract_y
_atom_site_fract_z
Sc1 Sc 0.0000 0.0000 0.0000
Ga1 Ga 0.0000 0.0000 0.2192
Fe1 Fe 0.0000 0.0000 0.5000
```

- magnetic moment (Bohr magnetons per cell) = 0.00
- total DFT energy (no corrections) (eV per cell) = -65.93
- formation enthalpy at 0 K (eV/atom) = -0.282

=====

# 5
DFT (PBE-GGA) results for a relaxed structure of Sc3Ga6Fe2.

```
data_Sc3Ga6Fe2
_symmetry_space_group_name_H-M 'P n m a'
_symmetry_Int_Tables_number 62
_symmetry_space_group_name_Hall '-P 2ac 2n'
_cell_length_a 8.138
_cell_length_b 8.413
_cell_length_c 10.408
_cell_angle_alpha 90.00
_cell_angle_beta 90.00
_cell_angle_gamma 90.00
loop_
_atom_site_label
_atom_site_type_symbol
_atom_site_fract_x
_atom_site_fract_y
_atom_site_fract_z
Sc1 Sc 0.040 0.250 0.064
Sc2 Sc 0.068 0.553 0.640
Ga1 Ga 0.099 0.750 0.410
Ga2 Ga 0.116 0.589 0.157
Ga3 Ga 0.204 0.006 0.913
Ga4 Ga 0.219 0.250 0.284
Fe1 Fe 0.137 0.250 0.764
Fe2 Fe 0.182 0.250 0.522
```

- magnetic moment (Bohr magnetons per cell) = 11.61
- total DFT energy (no corrections) (eV per cell) = -237.36
- formation enthalpy at 0 K (eV/atom) = -0.478

=====

# 6
DFT (PBE-GGA) results for a relaxed structure of ScGaFe2.

```
data_ScGaFe2
_symmetry_space_group_name_H-M 'P 4/m m m'
_symmetry_Int_Tables_number 123
_symmetry_space_group_name_Hall '-P 4 2'
_cell_length_a 4.054
_cell_length_b 4.054
_cell_length_c 3.373
_cell_angle_alpha 90.00
_cell_angle_beta 90.00
_cell_angle_gamma 90.00
loop_
_atom_site_label
_atom_site_type_symbol
_atom_site_fract_x
_atom_site_fract_y
_atom_site_fract_z
Sc1 Sc 0.000 0.000 0.000
Ga1 Ga 0.500 0.500 0.000
Fe1 Fe 0.000 0.500 0.500
```

- magnetic moment (Bohr magnetons per cell) = 2.43
- total DFT energy (no corrections) (eV per cell) = -26.87
- formation enthalpy at 0 K (eV/atom) = -0.147

=====

# 7
DFT (PBE-GGA) results for a relaxed structure of Sc4Ga3Fe.

```
data_Sc4Ga3Fe
_symmetry_space_group_name_H-M 'P 4/m m m'
_symmetry_Int_Tables_number 123
_symmetry_space_group_name_Hall '-P 4 2'
_cell_length_a 3.233
_cell_length_b 3.233
_cell_length_c 13.705
_cell_angle_alpha 90.00
_cell_angle_beta 90.00
_cell_angle_gamma 90.00
loop_
_atom_site_label
_atom_site_type_symbol
_atom_site_fract_x
_atom_site_fract_y
_atom_site_fract_z
Sc1 Sc 0.000 0.000 0.107
Sc2 Sc 0.000 0.000 0.368
Ga1 Ga 0.500 0.500 0.236
Ga2 Ga 0.500 0.500 0.500
Fe1 Fe 0.500 0.500 0.000
```

- magnetic moment (Bohr magnetons per cell) = 0.00
- total DFT energy (no corrections) (eV per cell) = -46.91
- formation enthalpy at 0 K (eV/atom) = -0.505

=====

# 8
DFT (PBE-GGA) results for a relaxed structure of ScGa2Fe.

```
data_ScGa2Fe
_symmetry_space_group_name_H-M 'P 4/m m m'
_symmetry_Int_Tables_number 123
_symmetry_space_group_name_Hall '-P 4 2'
_cell_length_a 3.000
_cell_length_b 3.000
_cell_length_c 6.763
_cell_angle_alpha 90.00
_cell_angle_beta 90.00
_cell_angle_gamma 90.00
loop_
_atom_site_label
_atom_site_type_symbol
_atom_site_fract_x
_atom_site_fract_y
_atom_site_fract_z
Sc1 Sc 0.000 0.000 0.000
Ga1 Ga 0.500 0.500 0.299
Fe1 Fe 0.000 0.000 0.500
```

- magnetic moment (Bohr magnetons per cell) = 0.48
- total DFT energy (no corrections) (eV per cell) = -21.98
- formation enthalpy at 0 K (eV/atom) = -0.282